7
Lattice="-1.510 1.550 8.003 1.510 -1.550 8.003 1.510 1.550 -8.003" Properties=species:S:1:pos:R:3 comment="Ta2NbC4 (GGA-PBE, relaxed)" final_energy_ev_per_atom=-10.037 spacegroup=Immm pbc="T T T"
Ta 0.000 0.000 2.606
Ta 0.000 0.000 13.400
Nb 0.000 1.550 0.000
C 1.510 0.000 0.780
C 0.000 0.000 4.915
C 0.000 0.000 11.091
C 0.000 1.550 7.223